DFT (PBE) results for a relaxed Tm3Al2Au crystal.

Output
As for the formation energy from the elements: -3.2 eV/f.u. The density of states at the Fermi level comes out at 0.61 states/eV per atom. Its space group is P4/mmm. For the final energy, the calculation gives -27.43 eV for the cell shown. The value obtained for the volume is 135.0 Å³/cell.

Cell: 3.566 3.566 10.618 Å, 90.00 90.00 90.00°
Fractional coordinates of all 6 atoms:
Tm (0.000, 0.000, 0.664)
Tm (0.000, 0.000, 0.000)
Al (0.500, 0.500, 0.165)
Al (0.500, 0.500, 0.835)
Au (0.500, 0.500, 0.500)
Tm (0.000, 0.000, 0.336)